The following is a PBE calculation of a relaxed structure of TaCoBiMo, from OQMD.

## Properties
**Magnetic moment**: 0.9 μB per formula unit
**VASP energy**: -32.07 eV per formula unit

abc: 6.4902 6.4902 6.4902
angles: 90.00 90.00 90.00
Closest atoms and distances in Å follow each position.
Space group F-43m (No. 216)
Symmetry-distinct sites (fractional):
Ta: 0.0000 0.0000 0.0000 (multiplicity 4)  4 Mo 2.81, 4 Co 2.81
Co: 0.2500 0.2500 0.7500 (multiplicity 4)  4 Ta 2.81, 4 Bi 2.81
Bi: 0.0000 0.0000 0.5000 (multiplicity 4)  4 Co 2.81, 4 Mo 2.81
Mo: 0.2500 0.2500 0.2500 (multiplicity 4)  4 Bi 2.81, 4 Ta 2.81